[1]
Li3Tm2ZrS6 after structural relaxation, computed with GGA-PBE.

The structure in CIF format:
```
data_Li3Tm2ZrS6
_space_group_name_H-M_alt 'C 1 2/m 1'
_space_group_IT_number 12
_cell_length_a 6.542
_cell_length_b 11.326
_cell_length_c 6.551
_cell_angle_alpha 90.00
_cell_angle_beta 109.48
_cell_angle_gamma 90.00
loop_
_space_group_symop_operation_xyz
'x,y,z'
'-x,-y,-z'
'-x,y,-z'
'x,-y,z'
'x+1/2,y+1/2,z'
'-x+1/2,-y+1/2,-z'
'-x+1/2,y+1/2,-z'
'x+1/2,-y+1/2,z'
loop_
_atom_site_label
_atom_site_fract_x
_atom_site_fract_y
_atom_site_fract_z
Li1 0.000 0.000 0.000
Li2 0.000 0.335 0.000
Tm1 0.000 0.167 0.500
Zr1 0.000 0.500 0.500
S1 0.242 0.500 0.251
S2 0.246 0.338 0.751
```

=====

[2]
Li4Tm3ZrS8 after structural relaxation, computed with GGA-PBE.

The structure in CIF format:
```
data_Li4Tm3ZrS8
_space_group_name_H-M_alt 'R -3 m'
_space_group_IT_number 166
_space_group_name_Hall '-R 3 2"'
_cell_length_a 7.5954
_cell_length_b 7.5954
_cell_length_c 18.4995
_cell_angle_alpha 90.00
_cell_angle_beta 90.00
_cell_angle_gamma 120.00
loop_
_atom_site_label
_atom_site_fract_x
_atom_site_fract_y
_atom_site_fract_z
Li1 0.0000 0.0000 0.0000
Li2 0.0000 0.5000 0.0000
Tm1 0.0000 0.5000 0.5000
Zr1 0.0000 0.0000 0.5000
S1 0.0000 0.0000 0.2504
S2 0.0078 0.5039 0.2496
```

=====

[3]
Li2TmZr2S6 after structural relaxation, computed with GGA-PBE.

The structure in CIF format:
```
data_Li2TmZr2S6
_space_group_name_H-M_alt 'C 1 2/m 1'
_space_group_IT_number 12
_cell_length_a 6.429
_cell_length_b 11.190
_cell_length_c 6.581
_cell_angle_alpha 90.00
_cell_angle_beta 109.10
_cell_angle_gamma 90.00
loop_
_space_group_symop_operation_xyz
'x,y,z'
'-x,-y,-z'
'-x,y,-z'
'x,-y,z'
'x+1/2,y+1/2,z'
'-x+1/2,-y+1/2,-z'
'-x+1/2,y+1/2,-z'
'x+1/2,-y+1/2,z'
loop_
_atom_site_label
_atom_site_fract_x
_atom_site_fract_y
_atom_site_fract_z
Li1 0.000 0.167 0.000
Tm1 0.000 0.000 0.500
Zr1 0.000 0.335 0.500
S1 0.242 0.500 0.746
S2 0.249 0.327 0.256
```

=====

E_form (uncorrected) in eV/f.u., matching the order above: -20.65 -28.09 -18.00
Uncorrected energy in Ha/atom, matching the order above: -0.210 -0.208 -0.228